VASP calculation (PBE) on a geometry-optimized HfTlCr2 structure.

Unit cell a=4.617 b=4.617 c=4.617 alpha=60.00 beta=60.00 gamma=60.00
Element x y z (fractional)
Cr1 0.250 0.250 0.250
Cr2 0.750 0.750 0.750
Tl1 0.500 0.500 0.500
Hf1 0.000 0.000 0.000

Summary:
As for the calculated total energy: -7.448 eV per atom. As for the density of states at the Fermi level: 2.40 states/eV per cell. The polymorph energy (0 for the lowest one) comes out at 0.000 eV/atom. Its crystal system is cubic.